{
  "formula": "CoSiAg4",
  "functional": "GGA-PBE",
  "state": "optimized geometry",
  "lattice_angstrom": [[0.000, 3.807, 3.807], [3.807, 0.000, 3.807], [3.807, 3.807, 0.000]],
  "species": ["Co", "Si", "Ag", "Ag", "Ag", "Ag"],
  "frac_coords": [[0.000, 0.000, 0.000], [0.750, 0.750, 0.750], [0.375, 0.375, 0.375], [0.375, 0.375, 0.875], [0.375, 0.875, 0.375], [0.875, 0.375, 0.375]],
  "formation_energy_uncorrected_ev_per_atom": 0.679,
  "energy_ev_per_atom": -3.3097
}

---

{
  "formula": "In3FeMo",
  "functional": "GGA-PBE",
  "state": "optimized geometry",
  "lattice_angstrom": [[4.938, 0.000, 0.000], [0.000, 4.938, 0.000], [0.000, 0.000, 4.938]],
  "species": ["In", "In", "In", "Fe", "Mo"],
  "frac_coords": [[0.000, 0.000, 0.500], [0.000, 0.500, 0.000], [0.500, 0.000, 0.000], [0.000, 0.000, 0.000], [0.500, 0.500, 0.500]],
  "formation_enthalpy_0k_mev_per_atom": 891,
  "energy_ev_per_atom": -4.6109
}

---

{
  "formula": "CdWN2",
  "functional": "GGA-PBE",
  "state": "optimized geometry",
  "lattice_angstrom": [[0.000, 4.319, 4.319], [4.319, 0.000, 4.319], [4.319, 4.319, 0.000]],
  "species": ["Cd", "Cd", "W", "W", "N", "N", "N", "N"],
  "frac_coords": [[0.125, 0.125, 0.125], [0.875, 0.875, 0.875], [0.375, 0.375, 0.375], [0.625, 0.625, 0.625], [0.000, 0.500, 0.500], [0.500, 0.000, 0.500], [0.500, 0.500, 0.000], [0.500, 0.500, 0.500]],
  "formation_energy_uncorrected_ev_per_atom": -0.049,
  "energy_ev_per_atom": -7.6787
}

---

{
  "formula": "Nd2MnP4Ir3",
  "functional": "GGA-PBE",
  "state": "optimized geometry",
  "lattice_angstrom": [[4.184, 0.000, 0.000], [0.000, 4.184, 0.000], [0.000, 0.000, 9.458]],
  "species": ["Nd", "Nd", "Mn", "P", "P", "P", "P", "Ir", "Ir", "Ir"],
  "frac_coords": [[0.000, 0.500, 0.242], [0.500, 0.000, 0.758], [0.000, 0.000, 0.500], [0.000, 0.000, 0.000], [0.000, 0.500, 0.625], [0.500, 0.000, 0.375], [0.500, 0.500, 0.000], [0.000, 0.500, 0.884], [0.500, 0.000, 0.116], [0.500, 0.500, 0.500]],
  "formation_enthalpy_0k_mev_per_atom": -950,
  "energy_ev_per_atom": -7.6429
}

---

{
  "formula": "Nd4TeAs2Se",
  "functional": "GGA-PBE",
  "state": "optimized geometry",
  "lattice_angstrom": [[7.451, 0.000, 0.000], [0.000, 4.301, 0.000], [-2.488, 0.000, 7.157]],
  "species": ["Nd", "Nd", "Nd", "Nd", "Te", "As", "As", "Se"],
  "frac_coords": [[0.235, 0.000, 0.227], [0.249, 0.500, 0.768], [0.751, 0.500, 0.232], [0.765, 0.000, 0.773], [0.500, 0.500, 0.500], [0.000, 0.500, 0.000], [0.500, 0.000, 0.000], [0.000, 0.000, 0.500]],
  "formation_energy_uncorrected_ev_per_atom": -1.624,
  "energy_ev_per_atom": -5.9989
}

---

{
  "formula": "ZrMn3",
  "functional": "GGA-PBE",
  "state": "optimized geometry",
  "lattice_angstrom": [[1.442, 0.832, 8.614], [-1.442, 0.832, 8.614], [0.000, -1.665, 8.614]],
  "species": ["Zr", "Mn", "Mn", "Mn"],
  "frac_coords": [[0.000, 0.000, 0.000], [0.240, 0.240, 0.240], [0.500, 0.500, 0.500], [0.760, 0.760, 0.760]],
  "formation_enthalpy_0k_mev_per_atom": 365,
  "energy_ev_per_atom": -8.6489
}

---

{
  "formula": "TcSbOs2",
  "functional": "GGA-PBE",
  "state": "optimized geometry",
  "lattice_angstrom": [[2.909, 0.000, 0.000], [0.000, 3.893, 0.000], [0.000, 0.000, 5.624]],
  "species": ["Tc", "Sb", "Os", "Os"],
  "frac_coords": [[0.000, 0.000, 0.000], [0.000, 0.000, 0.500], [0.500, 0.500, 0.234], [0.500, 0.500, 0.766]],
  "formation_energy_uncorrected_ev_per_atom": 0.502,
  "energy_ev_per_atom": -8.7353
}

---

{
  "formula": "Th4Te2IrSe",
  "functional": "GGA-PBE",
  "state": "optimized geometry",
  "lattice_angstrom": [[7.545, 0.000, 0.000], [0.000, 4.204, 0.000], [-2.427, 0.000, 7.425]],
  "species": ["Th", "Th", "Th", "Th", "Te", "Te", "Ir", "Se"],
  "frac_coords": [[0.219, 0.000, 0.210], [0.250, 0.500, 0.779], [0.750, 0.500, 0.221], [0.781, 0.000, 0.790], [0.000, 0.000, 0.500], [0.500, 0.500, 0.500], [0.000, 0.500, 0.000], [0.500, 0.000, 0.000]],
  "formation_energy_uncorrected_ev_per_atom": -1.224,
  "energy_ev_per_atom": -7.2627
}